# 1
Ti2CrCd2 after structural relaxation. Source: the Alexandria database, functional PBEsol.

Properties
ΔH_f (0 K): 736 meV/atom
Total DFT energy (no corrections): -5.120 eV per atom
Space-group type: I4/mmm, No. 139

The structure in POSCAR format:
```
Ti2CrCd2
1.0
-1.900 1.900 6.731
1.900 -1.900 6.731
1.900 1.900 -6.731
Ti Cr Cd
2 1 2
direct
0.084 0.084 0.000
0.916 0.916 0.000
0.500 0.500 0.000
0.250 0.750 0.500
0.750 0.250 0.500
```



# 2
TlCrCd2 after structural relaxation. Source: the Alexandria database, functional PBEsol.

Properties
ΔH_f (0 K): 396 meV/atom
Total DFT energy (no corrections): -3.421 eV per atom
Space-group type: Pmm2, No. 25

The structure in POSCAR format:
```
TlCrCd2
1.0
3.552 0.000 0.000
0.000 3.668 0.000
0.000 0.000 6.271
Tl Cr Cd
1 1 2
direct
0.000 0.000 0.000
0.500 0.500 0.240
0.000 0.000 0.475
0.500 0.500 0.719
```



# 3
Tl2CrCd after structural relaxation. Source: the Alexandria database, functional PBEsol.

Properties
ΔH_f (0 K): 461 meV/atom
Total DFT energy (no corrections): -3.714 eV per atom
Space-group type: Pmmm, No. 47

The structure in POSCAR format:
```
Tl2CrCd
1.0
3.489 0.000 0.000
0.000 3.574 0.000
0.000 0.000 7.113
Tl Cr Cd
2 1 1
direct
0.000 0.000 0.233
0.000 0.000 0.767
0.500 0.500 0.000
0.500 0.500 0.500
```



# 4
TlCrCd2 after structural relaxation. Source: the Alexandria database, functional PBEsol.

Properties
ΔH_f (0 K): 383 meV/atom
Total DFT energy (no corrections): -3.434 eV per atom
Space-group type: I-4m2, No. 119

The structure in POSCAR format:
```
TlCrCd2
1.0
-2.201 2.201 4.153
2.201 -2.201 4.153
2.201 2.201 -4.153
Tl Cr Cd
1 1 2
direct
0.000 0.000 0.000
0.750 0.250 0.500
0.250 0.750 0.500
0.500 0.500 0.000
```



# 5
Tl2CrCd after structural relaxation. Source: the Alexandria database, functional PBEsol.

Properties
ΔH_f (0 K): 459 meV/atom
Total DFT energy (no corrections): -3.715 eV per atom
Space-group type: Pm, No. 6

The structure in POSCAR format:
```
Tl2CrCd
1.0
3.457 0.000 0.000
0.000 4.727 0.000
-1.416 0.000 5.529
Tl Cr Cd
2 1 1
direct
0.000 0.000 0.000
0.255 0.500 0.635
0.685 0.000 0.475
0.570 0.500 0.175
```



# 6
Tl2CrCd after structural relaxation. Source: the Alexandria database, functional PBEsol.

Properties
ΔH_f (0 K): 448 meV/atom
Total DFT energy (no corrections): -3.726 eV per atom
Space-group type: R3m, No. 160

The structure in POSCAR format:
```
Tl2CrCd
1.0
1.649 0.952 9.639
-1.649 0.952 9.639
0.000 -1.904 9.639
Tl Cr Cd
2 1 1
direct
0.000 0.000 0.000
0.238 0.238 0.238
0.496 0.496 0.496
0.757 0.757 0.757
```



no.,spin magnetization (μB per formula unit)
1,1.1
2,4.0
3,4.2
4,4.0
5,4.1
6,3.9